No. 1
! Rb2SnIrCl6 (GGA-PBE, optimized geometry); values from VASP
&SYSTEM
  ibrav = 0, nat = 10, ntyp = 4
/
ATOMIC_SPECIES
Rb 85.47 Rb.upf
Cl 35.45 Cl.upf
Sn 118.71 Sn.upf
Ir 192.22 Ir.upf
ATOMIC_POSITIONS angstrom
Rb -4.047 -7.142 2.790
Rb 0.569 -6.893 5.228
Cl 2.121 -4.947 2.482
Cl -1.830 -9.599 4.444
Cl -1.648 -4.436 3.574
Cl -0.534 -7.797 1.808
Cl -0.162 -2.363 0.548
Cl -2.817 -5.213 -0.126
Sn -0.348 -5.080 1.178
Ir 0.000 0.000 0.000
CELL_PARAMETERS angstrom
-4.964 -5.329 -1.260
4.268 -4.831 3.616
-2.782 -3.874 5.662
! uncorrected formation energy	-1.0746	eV/atom

No. 2
! Rb2SrIrCl6 (GGA-PBE, optimized geometry); values from VASP
&SYSTEM
  ibrav = 0, nat = 10, ntyp = 4
/
ATOMIC_SPECIES
Cl 35.45 Cl.upf
Rb 85.47 Rb.upf
Sr 87.62 Sr.upf
Ir 192.22 Ir.upf
ATOMIC_POSITIONS angstrom
Cl 1.671 1.671 0.000
Cl 5.683 1.671 0.000
Cl 7.354 7.354 2.809
Cl 3.677 3.677 2.831
Cl 1.671 5.683 0.000
Cl 5.683 5.683 0.000
Rb 3.677 7.354 2.820
Rb 7.354 3.677 2.820
Sr 3.677 3.677 0.000
Ir 0.000 0.000 0.000
CELL_PARAMETERS angstrom
7.354 0.000 0.000
0.000 7.354 0.000
3.677 3.677 5.639
! uncorrected formation energy	-1.4564	eV/atom

No. 3
! RbSrIrCl6 (GGA-PBE, optimized geometry); values from VASP
&SYSTEM
  ibrav = 0, nat = 9, ntyp = 4
/
ATOMIC_SPECIES
Ir 192.22 Ir.upf
Cl 35.45 Cl.upf
Rb 85.47 Rb.upf
Sr 87.62 Sr.upf
ATOMIC_POSITIONS angstrom
Ir -5.021 -1.909 0.457
Cl -5.156 -3.846 1.838
Cl -5.033 -0.581 2.435
Cl -7.402 -1.821 0.464
Cl -2.642 -2.031 0.444
Cl -5.032 -3.216 -1.535
Cl -4.862 0.040 -0.903
Rb -9.864 0.130 1.659
Sr -7.902 -3.377 -1.934
CELL_PARAMETERS angstrom
-5.586 1.012 -4.038
-3.059 -5.417 -3.136
-4.279 -0.882 5.697
! uncorrected formation energy	-1.4586	eV/atom

No. 4
! Rb2TiIrCl6 (GGA-PBE, optimized geometry); values from VASP
&SYSTEM
  ibrav = 0, nat = 10, ntyp = 4
/
ATOMIC_SPECIES
Cl 35.45 Cl.upf
Ti 47.87 Ti.upf
Rb 85.47 Rb.upf
Ir 192.22 Ir.upf
ATOMIC_POSITIONS angstrom
Cl 7.739 7.739 2.241
Cl 3.869 3.869 2.306
Cl 2.140 2.140 0.000
Cl 5.599 2.140 0.000
Cl 5.599 5.599 0.000
Cl 2.140 5.599 0.000
Ti 3.869 3.869 0.000
Rb 3.869 7.739 2.273
Rb 7.739 3.869 2.273
Ir 0.000 0.000 0.000
CELL_PARAMETERS angstrom
7.739 0.000 0.000
0.000 7.739 0.000
3.869 3.869 4.547
! uncorrected formation energy	-1.1204	eV/atom

No. 5
! RbTl2IrCl8 (GGA-PBE, optimized geometry); values from VASP
&SYSTEM
  ibrav = 0, nat = 12, ntyp = 4
/
ATOMIC_SPECIES
Ir 192.22 Ir.upf
Cl 35.45 Cl.upf
Tl 204.38 Tl.upf
Rb 85.47 Rb.upf
ATOMIC_POSITIONS angstrom
Ir 0.000 0.000 0.000
Cl 2.185 0.781 0.001
Cl 2.103 5.072 9.093
Cl 3.040 1.401 4.547
Cl -1.138 5.734 1.648
Cl 5.426 0.119 7.446
Cl 5.425 0.113 1.650
Cl -1.136 5.740 7.444
Cl 1.248 4.452 4.547
Tl 2.146 2.928 6.819
Tl 2.143 2.926 2.276
Rb -0.001 0.004 4.549
CELL_PARAMETERS angstrom
5.934 -1.484 0.001
-1.644 7.329 -0.005
-0.001 0.009 9.099
! uncorrected formation energy	-0.8711	eV/atom

No. 6
! RbTlIrCl2 (GGA-PBE, optimized geometry); values from VASP
&SYSTEM
  ibrav = 0, nat = 5, ntyp = 4
/
ATOMIC_SPECIES
Rb 85.47 Rb.upf
Cl 35.45 Cl.upf
Tl 204.38 Tl.upf
Ir 192.22 Ir.upf
ATOMIC_POSITIONS angstrom
Rb 2.627 2.609 2.627
Cl 2.627 0.000 0.000
Cl 0.000 0.000 2.627
Tl 0.000 2.609 0.000
Ir 0.000 0.000 0.000
CELL_PARAMETERS angstrom
5.255 0.000 0.000
0.000 5.217 0.000
0.000 0.000 5.255
! uncorrected formation energy	-0.3314	eV/atom

No. 7
! RbTlIrCl6 (GGA-PBE, optimized geometry); values from VASP
&SYSTEM
  ibrav = 0, nat = 9, ntyp = 4
/
ATOMIC_SPECIES
Cl 35.45 Cl.upf
Ir 192.22 Ir.upf
Rb 85.47 Rb.upf
Tl 204.38 Tl.upf
ATOMIC_POSITIONS angstrom
Cl 4.588 0.436 1.993
Cl 2.678 0.436 4.714
Cl 4.595 3.755 1.993
Cl 5.549 2.101 4.714
Cl 1.717 2.101 1.993
Cl 2.672 3.755 4.714
Ir 3.633 2.098 3.353
Rb 7.266 0.000 6.706
Tl 7.266 4.195 3.353
CELL_PARAMETERS angstrom
7.266 0.000 0.000
3.633 6.293 0.000
0.000 0.000 6.706
! uncorrected formation energy	-0.9281	eV/atom

No. 8
! Rb2TlIrCl6 (GGA-PBE, optimized geometry); values from VASP
&SYSTEM
  ibrav = 0, nat = 10, ntyp = 4
/
ATOMIC_SPECIES
Tl 204.38 Tl.upf
Cl 35.45 Cl.upf
Ir 192.22 Ir.upf
Rb 85.47 Rb.upf
ATOMIC_POSITIONS angstrom
Tl 0.000 0.000 0.000
Cl 2.120 5.473 0.000
Cl 3.797 3.797 2.371
Cl 2.120 2.120 0.000
Cl 7.593 7.593 2.997
Cl 5.473 5.473 0.000
Cl 5.473 2.120 0.000
Ir 3.797 3.797 0.000
Rb 3.797 7.593 2.684
Rb 7.593 3.797 2.684
CELL_PARAMETERS angstrom
7.593 0.000 0.000
0.000 7.593 0.000
3.797 3.797 5.368
! uncorrected formation energy	-1.1814	eV/atom

No. 9
! Rb2TlIrCl6 (GGA-PBE, optimized geometry); values from VASP
&SYSTEM
  ibrav = 0, nat = 20, ntyp = 4
/
ATOMIC_SPECIES
Cl 35.45 Cl.upf
Tl 204.38 Tl.upf
Rb 85.47 Rb.upf
Ir 192.22 Ir.upf
ATOMIC_POSITIONS angstrom
Cl -4.113 -0.779 -5.311
Cl -8.208 2.936 0.416
Cl -5.612 4.916 1.186
Cl -3.691 3.256 -1.007
Cl -1.886 5.122 -4.836
Cl -2.503 0.870 -7.749
Cl -2.874 4.812 -8.040
Cl -9.806 -1.182 -3.517
Cl -6.284 1.258 -1.770
Cl -6.599 4.605 -2.017
Cl -5.300 1.606 1.431
Cl -1.519 1.219 -4.548
Tl -6.772 -0.918 -3.807
Tl -1.031 3.395 -2.511
Rb -10.107 2.442 -3.850
Rb -7.907 -0.688 0.750
Rb -3.281 -0.361 -0.708
Rb -4.523 2.838 -5.610
Ir -1.851 -0.618 -6.013
Ir -5.953 3.095 -0.305
CELL_PARAMETERS angstrom
-0.682 7.251 -0.536
-2.358 -0.788 -7.659
-10.211 -0.722 3.217
! uncorrected formation energy	-1.1827	eV/atom

No. 10
! Rb2ZnIrCl6 (GGA-PBE, optimized geometry); values from VASP
&SYSTEM
  ibrav = 0, nat = 10, ntyp = 4
/
ATOMIC_SPECIES
Rb 85.47 Rb.upf
Cl 35.45 Cl.upf
Zn 65.41 Zn.upf
Ir 192.22 Ir.upf
ATOMIC_POSITIONS angstrom
Rb -4.477 -6.339 3.884
Rb -0.748 -8.601 0.878
Cl -1.152 -2.106 0.156
Cl -4.572 -3.402 1.984
Cl -0.501 -5.872 -1.298
Cl -3.832 -9.809 2.628
Cl -1.393 -5.130 2.133
Cl -3.921 -7.168 0.531
Zn -2.537 -4.637 0.343
Ir 0.000 0.000 0.000
CELL_PARAMETERS angstrom
-6.265 -2.375 3.349
1.192 -6.899 -2.663
-0.152 -5.666 4.075
! uncorrected formation energy	-1.0453	eV/atom

No. 11
! Rb2ZnIrCl (GGA-PBE, optimized geometry); values from VASP
&SYSTEM
  ibrav = 0, nat = 5, ntyp = 4
/
ATOMIC_SPECIES
Rb 85.47 Rb.upf
Cl 35.45 Cl.upf
Ir 192.22 Ir.upf
Zn 65.41 Zn.upf
ATOMIC_POSITIONS angstrom
Rb 0.000 0.000 3.152
Rb 3.152 0.000 0.000
Cl 3.152 2.416 3.152
Ir 0.000 0.000 0.000
Zn 0.000 2.416 0.000
CELL_PARAMETERS angstrom
6.304 0.000 0.000
0.000 4.832 0.000
0.000 0.000 6.304
! uncorrected formation energy	-0.0934	eV/atom

No. 12
! Rb2ZrIrCl6 (GGA-PBE, optimized geometry); values from VASP
&SYSTEM
  ibrav = 0, nat = 10, ntyp = 4
/
ATOMIC_SPECIES
Zr 91.22 Zr.upf
Rb 85.47 Rb.upf
Cl 35.45 Cl.upf
Ir 192.22 Ir.upf
ATOMIC_POSITIONS angstrom
Zr -1.416 -2.188 5.219
Rb -2.166 0.132 9.249
Rb 1.365 -4.414 8.301
Cl -0.800 -1.237 2.949
Cl -2.032 -3.140 7.489
Cl 0.119 -4.165 4.807
Cl 0.375 -1.002 6.203
Cl -2.952 -0.211 5.631
Cl -1.177 -3.280 11.347
Ir 0.000 0.000 0.000
CELL_PARAMETERS angstrom
-4.947 2.358 6.167
2.115 -6.734 4.271
2.031 0.095 7.112
! uncorrected formation energy	-1.1821	eV/atom